i) MgHgS2N: optimized geometry, PBE-GGA.

```
MgHgS2N
1.0
-2.4223 4.4883 -0.6925
-4.4582 -2.4997 -0.6071
-0.6898 0.2502 4.0347
Hg S N Mg
1 2 1 1
Direct
0.0000 0.0000 0.0000
0.0000 0.5000 0.0000
0.5000 0.0000 0.0000
0.0000 0.0000 0.5000
0.5000 0.5000 0.5000
```

=====

ii) MgHgS2N: optimized geometry, PBE-GGA.

```
MgHgS2N
1.0
4.9637 0.0000 0.0000
0.0000 4.9637 0.0000
0.0000 0.0000 4.0664
Mg N S Hg
1 1 2 1
Direct
0.0000 0.0000 0.0000
0.0000 0.0000 0.5000
0.0000 0.5000 0.0000
0.5000 0.0000 0.0000
0.5000 0.5000 0.5000
```

=====

Which structure is the most stable? The one labeled ii).

=====

i) MgHgSN2: optimized geometry, PBE-GGA.

```
MgHgSN2
1.0
-1.6282 -2.3907 2.9557
3.7993 -1.1347 1.1750
0.1868 4.5061 3.7477
Hg S N Mg
1 1 2 1
Direct
0.0000 0.0000 0.0000
0.0000 0.0000 0.5000
0.5000 0.0000 0.0000
0.0000 0.5000 0.0000
0.5000 0.5000 0.5000
```

=====

ii) MgHgSN2: optimized geometry, PBE-GGA.

```
MgHgSN2
1.0
4.1113 0.0000 0.0000
0.0000 4.1113 0.0000
0.0000 0.0000 5.3711
Mg Hg N S
1 1 2 1
Direct
0.0000 0.0000 0.0000
0.5000 0.5000 0.5000
0.0000 0.5000 0.0000
0.5000 0.0000 0.0000
0.0000 0.0000 0.5000
```

=====

Which structure is the most stable? The one labeled ii).

=====

i) MgHgSe2N: optimized geometry, PBE-GGA.

```
MgHgSe2N
1.0
5.4040 0.0000 0.0000
0.0000 5.4040 0.0000
0.0000 0.0000 4.1087
N Mg Hg Se
1 1 1 2
Direct
0.0000 0.0000 0.5000
0.5000 0.5000 0.5000
0.0000 0.0000 0.0000
0.0000 0.5000 0.0000
0.5000 0.0000 0.0000
```

=====

ii) MgHgSe2N: optimized geometry, PBE-GGA.

```
MgHgSe2N
1.0
5.2482 0.0000 0.0000
0.0000 4.0371 0.0000
0.0000 0.0000 5.2482
Se Mg N Hg
2 1 1 1
Direct
0.5000 0.0000 0.0000
0.0000 0.0000 0.5000
0.0000 0.0000 0.0000
0.0000 0.5000 0.0000
0.5000 0.5000 0.5000
```

=====

Which structure is the most stable? The one labeled ii).

=====

i) MgHgTeN2: optimized geometry, PBE-GGA.

```
MgHgTeN2
1.0
-1.5163 3.9395 -0.3788
-3.7902 -1.3287 1.3534
1.6762 1.2109 5.8831
Hg Te N Mg
1 1 2 1
Direct
0.5000 0.5000 0.5000
0.0000 0.0000 0.5000
0.0000 0.5000 0.0000
0.5000 0.0000 0.0000
0.0000 0.0000 0.0000
```

=====

ii) MgHgTeN2: optimized geometry, PBE-GGA.

```
MgHgTeN2
1.0
4.2797 0.0000 0.0000
0.0000 4.2797 0.0000
0.0000 0.0000 6.4302
Mg Te N Hg
1 1 2 1
Direct
0.5000 0.5000 0.5000
0.0000 0.0000 0.5000
0.5000 0.0000 0.0000
0.0000 0.5000 0.0000
0.0000 0.0000 0.0000
```

=====

Which structure is the most stable? The one labeled i).